Compound: La2VHgO
Source: Alexandria
Functional: PBE+U
Structure: optimized geometry

```
La2VHgO
1.0
-4.3640 -2.0774 0.2127
-0.2280 -0.0685 -5.3470
2.0780 -4.3688 -0.0327
Hg La V O
1 2 1 1
Direct
0.0000 0.5000 0.0000
0.0000 0.0000 0.5000
0.5000 0.0000 0.0000
0.5000 0.5000 0.5000
0.0000 0.0000 0.0000
```

## Properties
Its total energy is -5.19 eV per atom. For the density of states at the Fermi level, the calculation gives 4.70 states/eV/cell. The mass density is 7.229 Mg/m³.